# Cu3As4O6F6 | Alexandria via LeMat-Bulk | PBE-GGA | relaxed
data_Cu3As4O6F6
_symmetry_space_group_name_H-M 'I -4 3 m'
_symmetry_Int_Tables_number 217
_symmetry_space_group_name_Hall 'I -4 2 3'
_cell_length_a 8.063
_cell_length_b 8.063
_cell_length_c 8.063
_cell_angle_alpha 90.00
_cell_angle_beta 90.00
_cell_angle_gamma 90.00
loop_
_atom_site_label
_atom_site_fract_x
_atom_site_fract_y
_atom_site_fract_z
_atom_site_occupancy
Cu1 0.000 0.000 0.500 1
As1 0.148 0.148 0.852 1
O1 0.000 0.000 0.242 1
F1 0.000 0.250 0.500 1
# * magnetization: 0.1328 μB/atom
# * DFT total energy: -194.55 eV for the cell shown

=====

# PrCuAsF | Alexandria via LeMat-Bulk | PBE-GGA | relaxed
data_PrCuAsF
_symmetry_space_group_name_H-M 'P 4/n m m'
_symmetry_Int_Tables_number 129
_cell_length_a 3.996
_cell_length_b 3.996
_cell_length_c 8.621
_cell_angle_alpha 90.00
_cell_angle_beta 90.00
_cell_angle_gamma 90.00
loop_
_symmetry_equiv_pos_as_xyz
'x,y,z'
'-x,-y,-z'
'-y+1/2,x,z'
'y+1/2,-x,-z'
'-x+1/2,-y+1/2,z'
'x+1/2,y+1/2,-z'
'y,-x+1/2,z'
'-y,x+1/2,-z'
'x+1/2,-y,-z'
'-x+1/2,y,z'
'-y,-x,-z'
'y,x,z'
'-x,y+1/2,-z'
'x,-y+1/2,z'
'y+1/2,x+1/2,-z'
'-y+1/2,-x+1/2,z'
loop_
_atom_site_label
_atom_site_fract_x
_atom_site_fract_y
_atom_site_fract_z
_atom_site_occupancy
Pr1 0.250 0.250 0.187 1
Cu1 0.250 0.750 0.500 1
As1 0.250 0.250 0.677 1
F1 0.250 0.750 0.000 1
# * magnetization: 0.0000 μB/atom
# * DFT total energy: -45.84 eV for the cell shown

=====

# PuCuAsF | Alexandria via LeMat-Bulk | PBE-GGA | relaxed
data_PuCuAsF
_symmetry_space_group_name_H-M 'P 4/n m m'
_symmetry_Int_Tables_number 129
_cell_length_a 3.916
_cell_length_b 3.916
_cell_length_c 8.652
_cell_angle_alpha 90.00
_cell_angle_beta 90.00
_cell_angle_gamma 90.00
loop_
_symmetry_equiv_pos_as_xyz
'x,y,z'
'-x,-y,-z'
'-y+1/2,x,z'
'y+1/2,-x,-z'
'-x+1/2,-y+1/2,z'
'x+1/2,y+1/2,-z'
'y,-x+1/2,z'
'-y,x+1/2,-z'
'x+1/2,-y,-z'
'-x+1/2,y,z'
'-y,-x,-z'
'y,x,z'
'-x,y+1/2,-z'
'x,-y+1/2,z'
'y+1/2,x+1/2,-z'
'-y+1/2,-x+1/2,z'
loop_
_atom_site_label
_atom_site_fract_x
_atom_site_fract_y
_atom_site_fract_z
_atom_site_occupancy
Pu1 0.250 0.250 0.188 1
Cu1 0.250 0.750 0.500 1
As1 0.250 0.250 0.678 1
F1 0.250 0.750 0.000 1
# * magnetization: 1.2764 μB/atom
# * DFT total energy: -62.49 eV for the cell shown

=====

# RbCu2AsF8 | Alexandria via LeMat-Bulk | PBE-GGA | relaxed
data_RbCu2AsF8
_symmetry_space_group_name_H-M 'R -3 m'
_symmetry_Int_Tables_number 166
_symmetry_space_group_name_Hall '-R 3 2"'
_cell_length_a 5.4819
_cell_length_b 5.4819
_cell_length_c 25.2812
_cell_angle_alpha 90.00
_cell_angle_beta 90.00
_cell_angle_gamma 120.00
loop_
_atom_site_label
_atom_site_fract_x
_atom_site_fract_y
_atom_site_fract_z
_atom_site_occupancy
Rb1 0.0000 0.0000 0.0000 1
Cu1 0.0000 0.0000 0.2577 1
As1 0.0000 0.0000 0.5000 1
F1 0.0000 0.0000 0.3302 1
F2 0.0123 0.5062 0.1224 1
# * magnetization: 0.0236 μB/atom
# * DFT total energy: -151.31 eV for the cell shown

=====

# CuAs2SeF | Alexandria via LeMat-Bulk | PBE-GGA | relaxed
data_CuAs2SeF
_symmetry_space_group_name_H-M 'P 4/m m m'
_symmetry_Int_Tables_number 123
_symmetry_space_group_name_Hall '-P 4 2'
_cell_length_a 4.282
_cell_length_b 4.282
_cell_length_c 5.242
_cell_angle_alpha 90.00
_cell_angle_beta 90.00
_cell_angle_gamma 90.00
loop_
_atom_site_label
_atom_site_fract_x
_atom_site_fract_y
_atom_site_fract_z
_atom_site_occupancy
Cu1 0.000 0.000 0.000 1
As1 0.000 0.500 0.500 1
Se1 0.500 0.500 0.000 1
F1 0.500 0.500 0.500 1
# * magnetization: 0.0000 μB/atom
# * energy above the lowest structure with this stoichiometry: 0.130 eV per atom

=====

# CuAs2SeF | Alexandria via LeMat-Bulk | PBE-GGA | relaxed
data_CuAs2SeF
_symmetry_space_group_name_H-M 'P 4/m m m'
_symmetry_Int_Tables_number 123
_symmetry_space_group_name_Hall '-P 4 2'
_cell_length_a 4.701
_cell_length_b 4.701
_cell_length_c 4.657
_cell_angle_alpha 90.00
_cell_angle_beta 90.00
_cell_angle_gamma 90.00
loop_
_atom_site_label
_atom_site_fract_x
_atom_site_fract_y
_atom_site_fract_z
_atom_site_occupancy
Cu1 0.000 0.000 0.000 1
As1 0.000 0.500 0.000 1
Se1 0.000 0.000 0.500 1
F1 0.500 0.500 0.500 1
# * magnetization: 0.0000 μB/atom
# * energy above the lowest structure with this stoichiometry: 0.000 eV per atom

=====

# CuAsSe2F | Alexandria via LeMat-Bulk | PBE-GGA | relaxed
data_CuAsSe2F
_symmetry_space_group_name_H-M 'P 4/m m m'
_symmetry_Int_Tables_number 123
_symmetry_space_group_name_Hall '-P 4 2'
_cell_length_a 4.662
_cell_length_b 4.662
_cell_length_c 4.785
_cell_angle_alpha 90.00
_cell_angle_beta 90.00
_cell_angle_gamma 90.00
loop_
_atom_site_label
_atom_site_fract_x
_atom_site_fract_y
_atom_site_fract_z
_atom_site_occupancy
Cu1 0.000 0.000 0.000 1
As1 0.000 0.000 0.500 1
Se1 0.000 0.500 0.000 1
F1 0.500 0.500 0.500 1
# * magnetization: 0.0000 μB/atom
# * energy above the lowest structure with this stoichiometry: 0.000 eV per atom

=====

# CuAsSe2F | Alexandria via LeMat-Bulk | PBE-GGA | relaxed
data_CuAsSe2F
_symmetry_space_group_name_H-M 'P 4/m m m'
_symmetry_Int_Tables_number 123
_symmetry_space_group_name_Hall '-P 4 2'
_cell_length_a 4.942
_cell_length_b 4.942
_cell_length_c 4.060
_cell_angle_alpha 90.00
_cell_angle_beta 90.00
_cell_angle_gamma 90.00
loop_
_atom_site_label
_atom_site_fract_x
_atom_site_fract_y
_atom_site_fract_z
_atom_site_occupancy
Cu1 0.000 0.000 0.000 1
As1 0.500 0.500 0.000 1
Se1 0.000 0.500 0.500 1
F1 0.500 0.500 0.500 1
# * magnetization: 0.0000 μB/atom
# * energy above the lowest structure with this stoichiometry: 0.178 eV per atom